1.
Here is a relaxed PmHgAs4 crystal from Alexandria. Energies are from PBE-GGA.

Cell and atoms, written as POSCAR:
```
PmHgAs4
1.0
5.7396 0.0000 0.0000
2.8698 4.9706 0.0000
2.8698 1.6569 4.6864
Pm Hg As
1 1 4
Direct
0.2500 0.2500 0.2500
0.0000 0.0000 0.0000
0.6306 0.6306 0.1082
0.1082 0.6306 0.6306
0.6306 0.6306 0.6306
0.6306 0.1082 0.6306
```

Output
The value obtained for the energy of formation is -0.199 eV/atom.

2.
Here is a relaxed P2RhCl crystal from Alexandria. Energies are from PBE-GGA.

Cell and atoms, written as POSCAR:
```
P2RhCl
1.0
-0.0179 -0.1058 4.3874
-3.5577 1.3080 2.2120
-2.4749 -2.9440 2.1139
Cl Rh P
1 1 2
Direct
0.0000 0.0000 0.0000
0.5000 0.5000 0.5000
0.7500 0.7500 0.7500
0.2500 0.2500 0.2500
```

Output
The value obtained for the formation energy from raw total energies is 562 meV/atom. For the energy above the most stable polymorph in this dataset, the calculation gives 731 meV per atom.

3.
Here is a relaxed Sr2Zn2Co crystal from Alexandria. Energies are from PBE-GGA.

Cell and atoms, written as POSCAR:
```
Sr2Zn2Co
1.0
-0.9546 1.0003 -3.3800
3.3741 -0.7540 -1.1761
-1.4557 -8.8408 -4.1780
Zn Sr Co
2 2 1
Direct
0.2500 0.7500 0.5000
0.7500 0.2500 0.5000
0.4077 0.4077 0.1846
0.5923 0.5923 0.8154
0.0000 0.0000 0.0000
```

Output
For the energy above the most stable polymorph in this dataset, the calculation gives 81 meV per atom. The value obtained for the energy of formation is 0.272 eV/atom.

4.
Here is a relaxed BaMg4ZnIn2 crystal from Alexandria. Energies are from PBE-GGA.

Cell and atoms, written as POSCAR:
```
BaMg4ZnIn2
1.0
4.9890 0.0000 0.0000
2.4945 4.3206 0.0000
2.4945 1.4402 9.7580
In Zn Mg Ba
2 1 4 1
Direct
0.7528 0.7528 0.7417
0.2472 0.2472 0.2583
0.5000 0.5000 0.5000
0.5920 0.5920 0.2239
0.4080 0.4080 0.7761
0.1359 0.1359 0.5924
0.8641 0.8641 0.4076
0.0000 0.0000 0.0000
```

Output
The value obtained for the energy of formation is -0.144 eV/atom.

5.
Here is a relaxed ErPaHg crystal from Alexandria. Energies are from PBE-GGA.

Cell and atoms, written as POSCAR:
```
ErPaHg
1.0
3.2698 0.0000 0.0000
0.0000 3.2698 0.0000
-1.6349 -1.6349 7.1888
Pa Er Hg
1 1 1
Direct
0.0032 0.0032 0.0064
0.3257 0.3257 0.6513
0.6711 0.6711 0.3423
```

Output
For the energy above the most stable polymorph in this dataset, the calculation gives 140 meV per atom. The value obtained for the energy of formation is -0.012 eV/atom.

6.
Here is a relaxed Ac4BiAs2 crystal from Alexandria. Energies are from PBE-GGA.

Cell and atoms, written as POSCAR:
```
Ac4BiAs2
1.0
4.5962 0.0000 0.0000
-2.2981 7.4310 0.0000
0.0000 0.0000 15.3182
As Ac Bi
4 8 2
Direct
0.1362 0.2723 0.4396
0.8638 0.7277 0.5604
0.8638 0.7277 0.9396
0.1362 0.2723 0.0604
0.0621 0.1241 0.2500
0.7688 0.5375 0.3821
0.2312 0.4625 0.8821
0.5000 0.0000 0.5000
0.7688 0.5375 0.1179
0.2312 0.4625 0.6179
0.5000 0.0000 0.0000
0.9379 0.8759 0.7500
0.6074 0.2148 0.7500
0.3926 0.7852 0.2500
```

Output
The value obtained for the energy of formation is -1.090 eV/atom.

7.
Here is a relaxed TlNi3H crystal from Alexandria. Energies are from PBE-GGA.

Cell and atoms, written as POSCAR:
```
TlNi3H
1.0
4.8226 0.0000 0.0000
0.0000 4.8226 0.0000
0.0000 0.0000 4.8226
Ni Tl H
3 1 1
Direct
0.5000 0.0000 0.0000
0.0000 0.5000 0.0000
0.0000 0.0000 0.5000
0.0000 0.0000 0.0000
0.5000 0.5000 0.5000
```

Output
For the energy above the most stable polymorph in this dataset, the calculation gives 1822 meV per atom.

8.
Here is a relaxed SrTaAl2 crystal from Alexandria. Energies are from PBE-GGA.

Cell and atoms, written as POSCAR:
```
SrTaAl2
1.0
-1.8395 -2.4853 0.4674
3.1958 -1.6000 4.0696
-2.8682 2.7499 3.3335
Ta Sr Al
1 1 2
Direct
0.0000 0.5000 0.5000
0.5000 0.0000 0.5000
0.0000 0.0000 0.0000
0.5000 0.5000 0.0000
```

Output
For the energy above the most stable polymorph in this dataset, the calculation gives 661 meV per atom. The value obtained for the energy of formation is 0.659 eV/atom.

Number 1: V 133.7 Å³/cell, size of the total moment 0.0 Bohr magnetons per cell. Number 2: V 59.8 Å³/cell, size of the total moment 0.0 Bohr magnetons per cell. Number 3: V 127.3 Å³/cell, size of the total moment 0.0 Bohr magnetons per cell. Number 4: V 210.3 Å³/cell, size of the total moment 0.0 Bohr magnetons per cell. Number 5: V 76.9 Å³/cell, size of the total moment 0.6 Bohr magnetons per cell. Number 6: V 523.2 Å³/cell, size of the total moment 1.2 Bohr magnetons per cell. Number 7: V 112.2 Å³/cell, size of the total moment 0.0 Bohr magnetons per cell. Number 8: V 87.8 Å³/cell, size of the total moment 0.0 Bohr magnetons per cell.